# 1
The following is a PBE calculation of crystalline Dy2YEr9 at its relaxed geometry, from Alexandria.

```
Dy2YEr9
1.0
-2.5994 -2.3078 -0.1243
3.6364 -3.5637 -9.8792
3.7481 -4.7245 9.3356
Er Dy Y
9 2 1
Direct
0.0000 0.0000 0.5000 Er
0.5000 0.8233 0.6466 Er
0.5000 0.3534 0.1767 Er
0.5000 0.6466 0.8233 Er
0.5000 0.8233 0.1767 Er
0.0000 0.5000 0.0000 Er
0.0000 0.5000 0.5000 Er
0.5000 0.1767 0.8233 Er
0.5000 0.1767 0.3534 Er
0.0000 0.6667 0.3333 Dy
0.0000 0.3333 0.6667 Dy
0.0000 0.0000 0.0000 Y
```

Results
* polymorph energy (0 for the lowest one): 0.0296 eV/atom
* total energy: -56.09 eV for the cell shown
* spin magnetization: 0.00 μB/atom
* DFT formation energy: 0.053 eV per atom

***

# 2
The following is a PBE calculation of crystalline Dy6Y4Er19 at its relaxed geometry, from Alexandria.

```
Dy6Y4Er19
1.0
10.1059 0.0000 -3.5730
-5.0529 8.7518 -3.5729
0.0000 0.0000 10.7188
Er Y Dy
19 4 6
Direct
0.2125 0.5369 0.1969 Er
0.5369 0.1969 0.2125 Er
0.7875 0.9844 0.3243 Er
0.6757 0.6600 0.4631 Er
0.0000 0.2617 0.2617 Er
0.3243 0.7875 0.9844 Er
0.7383 0.0000 0.7383 Er
0.6600 0.4631 0.6757 Er
0.2617 0.0000 0.2617 Er
0.9844 0.3243 0.7875 Er
0.4631 0.6757 0.6600 Er
0.8031 0.3400 0.0156 Er
0.0000 0.7383 0.7383 Er
0.0000 0.0000 0.0000 Er
0.0156 0.8031 0.3400 Er
0.2617 0.2617 0.0000 Er
0.1969 0.2125 0.5369 Er
0.7383 0.7383 0.0000 Er
0.3400 0.0156 0.8031 Er
0.0000 0.6425 0.0000 Y
0.6425 0.0000 0.0000 Y
0.0000 0.0000 0.6425 Y
0.3575 0.3575 0.3575 Y
0.6285 0.5000 0.1285 Dy
0.5000 0.8715 0.3715 Dy
0.8715 0.3715 0.5000 Dy
0.3715 0.5000 0.8715 Dy
0.5000 0.1285 0.6285 Dy
0.1285 0.6285 0.5000 Dy
```

Results
* total energy: -128.63 eV for the cell shown
* spin magnetization: 0.00 μB/atom
* DFT formation energy: 0.398 eV per atom

***

# 3
The following is a PBE calculation of crystalline Dy3Y2Er8 at its relaxed geometry, from Alexandria.

```
Dy3Y2Er8
1.0
-5.4095 -0.6858 0.9955
1.3072 -7.1091 2.2059
0.6921 6.7624 8.4136
Dy Er Y
3 8 2
Direct
0.5000 0.0000 0.0000 Dy
0.0000 0.7144 0.9999 Dy
0.0000 0.2856 0.0001 Dy
0.5000 0.8206 0.2163 Er
0.5000 0.1794 0.7837 Er
0.5000 0.3959 0.2163 Er
0.5000 0.6041 0.7837 Er
0.0001 0.8684 0.7368 Er
0.9999 0.1316 0.2632 Er
0.9999 0.3350 0.6705 Er
0.0001 0.6650 0.3295 Er
0.4998 0.2411 0.4826 Y
0.5002 0.7589 0.5174 Y
```

Results
* polymorph energy (0 for the lowest one): 0.0815 eV/atom
* total energy: -60.05 eV for the cell shown
* spin magnetization: 0.00 μB/atom
* DFT formation energy: 0.245 eV per atom

***

# 4
The following is a PBE calculation of crystalline Dy2Y5Er5 at its relaxed geometry, from Alexandria.

```
Dy2Y5Er5
1.0
5.0022 0.0000 0.0000
-2.5011 7.4964 -0.4260
0.0000 -4.4261 10.2847
Er Dy Y
5 2 5
Direct
0.6672 0.3344 0.0002 Er
0.3328 0.6656 0.9998 Er
0.4176 0.8352 0.7504 Er
0.5824 0.1648 0.2496 Er
0.5000 0.0000 0.5000 Er
0.9168 0.8335 0.2489 Dy
0.0832 0.1665 0.7511 Dy
0.7502 0.5004 0.7511 Y
0.0000 0.0000 0.0000 Y
0.8346 0.6692 0.5008 Y
0.2498 0.4996 0.2489 Y
0.1654 0.3308 0.4992 Y
```

Results
* total energy: -64.05 eV for the cell shown
* spin magnetization: 0.00 μB/atom
* DFT formation energy: 0.024 eV per atom

***

# 5
The following is a PBE calculation of crystalline Dy3Y4Er8 at its relaxed geometry, from Alexandria.

```
Dy3Y4Er8
1.0
6.6958 -0.1081 -0.1553
-3.1794 8.5720 1.1377
-3.1794 -1.9088 8.4339
Er Dy Y
8 3 4
Direct
0.9893 0.7309 0.7309 Er
0.5000 0.7460 0.2540 Er
0.0000 0.3607 0.6393 Er
0.5000 0.2540 0.7460 Er
0.0000 0.6393 0.3607 Er
0.5329 0.2694 0.2694 Er
0.0107 0.2691 0.2691 Er
0.4671 0.7306 0.7306 Er
0.5000 0.5000 0.0000 Dy
0.5000 0.0000 0.5000 Dy
0.5000 0.5000 0.5000 Dy
0.0000 0.0000 0.5000 Y
0.0000 0.0000 0.0000 Y
0.5000 0.0000 0.0000 Y
0.0000 0.5000 0.0000 Y
```

Results
* polymorph energy (0 for the lowest one): 0.2679 eV/atom
* total energy: -70.12 eV for the cell shown
* spin magnetization: 0.00 μB/atom
* DFT formation energy: 0.403 eV per atom

***

# 6
The following is a PBE calculation of crystalline Dy4Y5Er3 at its relaxed geometry, from Alexandria.

```
Dy4Y5Er3
1.0
6.8463 -0.3960 1.8199
-5.1649 7.4382 -6.6054
4.0665 -3.8735 11.4804
Y Dy Er
5 4 3
Direct
0.3343 0.6653 0.8314 Y
0.5000 0.0000 0.5000 Y
0.6657 0.3347 0.1686 Y
0.2496 0.5004 0.0005 Y
0.7504 0.4996 0.9995 Y
0.8356 0.6689 0.8337 Dy
0.1645 0.3311 0.1663 Dy
0.9173 0.8332 0.6661 Dy
0.0827 0.1668 0.3339 Dy
0.5835 0.1663 0.3335 Er
0.4165 0.8337 0.6665 Er
0.0000 0.0000 0.5000 Er
```

Results
* polymorph energy (0 for the lowest one): 0.0000 eV/atom
* total energy: -64.14 eV for the cell shown
* spin magnetization: 0.00 μB/atom
* DFT formation energy: 0.023 eV per atom

***

Which value of spin magnetization does entry 2 give? 0.00 μB/atom